A geometry-optimized Li2Ga6Rh structure, computed with PBE.

```
Li2Ga6Rh
1.0
5.112 -2.937 0.000
5.112 2.937 0.000
-0.003 0.000 5.314
Li Ga Rh
2 6 1
Direct
0.166 0.166 0.168 Li
0.834 0.834 0.832 Li
0.138 0.680 0.317 Ga
0.319 0.319 0.685 Ga
0.320 0.862 0.683 Ga
0.680 0.138 0.317 Ga
0.681 0.681 0.315 Ga
0.862 0.320 0.683 Ga
0.500 0.500 0.000 Rh
```

Computed properties:
- Energy relative to the elements: -0.25 eV per atom
- ΔE to the lowest computed polymorph: 0.0000 eV per atom
- Energy: -3.51 eV/atom